Entry 1:
## AcY4Zn5 (PBE-GGA)

Data for a geometry-optimized AcY4Zn5 structure.

a = 3.640 Å, b = 3.640 Å, c = 18.289 Å
α = 90.00°, β = 90.00°, γ = 90.00°
Atoms (fractional coordinates):
Zn  0.500  0.500  0.121
Zn  0.500  0.500  0.879
Zn  0.500  0.500  0.500
Zn  0.500  0.500  0.693
Zn  0.500  0.500  0.307
Ac  0.000  0.000  0.000
Y  0.000  0.000  0.789
Y  0.000  0.000  0.404
Y  0.000  0.000  0.596
Y  0.000  0.000  0.211

Computed properties:
- Symmetry: P4/mmm, No. 123
- Magnetic moment: 0.00 μB per atom
- D(E_F): 10.929 states/eV per cell
- Calculated formation energy: -320.3 meV/atom

***

Entry 2:
## RbCdTeS2 (PBE-GGA)

Data for a geometry-optimized RbCdTeS2 structure.

a = 5.378 Å, b = 5.516 Å, c = 5.378 Å
α = 90.00°, β = 90.00°, γ = 90.00°
Atoms (fractional coordinates):
S  0.000  0.000  0.500
S  0.500  0.000  0.000
Cd  0.000  0.500  0.000
Rb  0.500  0.500  0.500
Te  0.000  0.000  0.000

Computed properties:
- Formation energy without anion corrections: -0.15 eV/atom
- Symmetry: P4/mmm, No. 123
- Magnetic moment: 0.00 μB per atom
- D(E_F): 1.321 states/eV per cell

***

Entry 3:
## Ca11Pt4Pb9 (PBE-GGA)

Data for a geometry-optimized Ca11Pt4Pb9 structure.

a = 3.832 Å, b = 13.588 Å, c = 13.588 Å
α = 112.82°, β = 90.00°, γ = 90.00°
Atoms (fractional coordinates):
Ca  0.000  0.923  0.585
Ca  0.000  0.162  0.838
Ca  0.000  0.077  0.415
Ca  0.000  0.585  0.923
Ca  0.000  0.415  0.077
Ca  0.000  0.624  0.376
Ca  0.000  0.376  0.624
Ca  0.000  0.312  0.312
Ca  0.000  0.688  0.688
Ca  0.000  0.838  0.162
Ca  0.000  0.000  0.000
Pt  0.500  0.755  0.552
Pt  0.500  0.552  0.755
Pt  0.500  0.245  0.448
Pt  0.500  0.448  0.245
Pb  0.500  0.074  0.220
Pb  0.500  0.843  0.372
Pb  0.500  0.780  0.926
Pb  0.500  0.500  0.500
Pb  0.500  0.157  0.628
Pb  0.500  0.372  0.843
Pb  0.500  0.220  0.074
Pb  0.500  0.628  0.157
Pb  0.500  0.926  0.780

Computed properties:
- Symmetry: Cmmm, No. 65
- Magnetic moment: 0.00 μB per atom
- D(E_F): 9.207 states/eV per cell
- Calculated formation energy: -640.3 meV/atom

***

Entry 4:
## NaAg9Au3 (PBE-GGA)

Data for a geometry-optimized NaAg9Au3 structure.

a = 5.486 Å, b = 7.390 Å, c = 7.361 Å
α = 81.88°, β = 68.12°, γ = 67.73°
Atoms (fractional coordinates):
Ag  0.998  0.353  0.648
Ag  0.501  0.783  0.216
Ag  0.499  0.217  0.784
Ag  0.355  0.647  0.648
Ag  0.645  0.353  0.352
Ag  0.000  0.500  0.000
Ag  0.716  0.783  0.784
Ag  0.284  0.217  0.216
Ag  0.002  0.647  0.352
Au  0.500  0.000  0.500
Au  0.000  0.000  0.500
Au  0.500  0.500  0.000
Na  0.000  0.000  0.000

Computed properties:
- Symmetry: C2/m, No. 12
- Magnetic moment: 0.00 μB per atom
- D(E_F): 3.038 states/eV per cell
- Calculated formation energy: -24.1 meV/atom

***

Entry 5:
## Ca3GaCu2Au9 (PBE-GGA)

Data for a geometry-optimized Ca3GaCu2Au9 structure.

a = 5.886 Å, b = 5.886 Å, c = 11.677 Å
α = 90.00°, β = 90.00°, γ = 120.00°
Atoms (fractional coordinates):
Au  0.169  0.831  0.336
Au  0.169  0.338  0.336
Au  0.662  0.831  0.336
Au  0.500  0.000  0.000
Au  0.831  0.662  0.664
Au  0.000  0.500  0.000
Au  0.338  0.169  0.664
Au  0.500  0.500  0.000
Au  0.831  0.169  0.664
Cu  0.667  0.333  0.833
Cu  0.333  0.667  0.167
Ca  0.667  0.333  0.236
Ca  0.333  0.667  0.764
Ca  0.000  0.000  0.000
Ga  0.000  0.000  0.500

Computed properties:
- Symmetry: P-3m1, No. 164
- Magnetic moment: 0.00 μB per atom
- D(E_F): 6.869 states/eV per cell
- Calculated formation energy: -325.8 meV/atom

***

Entry 6:
## PmDyTaO6 (PBE-GGA)

Data for a geometry-optimized PmDyTaO6 structure.

a = 5.109 Å, b = 5.109 Å, c = 10.248 Å
α = 90.00°, β = 90.00°, γ = 90.00°
Each line ends with the local moment (μB).
Atoms (fractional coordinates):
O  0.721  0.721  0.673  0.21
O  0.689  0.689  0.310  0.15
O  0.819  0.181  0.518  0.10
O  0.319  0.319  0.018  0.10
O  0.779  0.221  0.173  0.21
O  0.311  0.311  0.310  0.15
O  0.221  0.779  0.173  0.21
O  0.279  0.279  0.673  0.21
O  0.681  0.681  0.018  0.10
O  0.189  0.811  0.810  0.15
O  0.181  0.819  0.518  0.10
O  0.811  0.189  0.810  0.15
Dy  0.500  0.500  0.836  -0.02
Dy  0.000  0.000  0.336  -0.02
Ta  0.000  0.000  0.665  -0.05
Ta  0.500  0.500  0.165  -0.05
Pm  0.500  0.500  0.498  -0.01
Pm  0.000  0.000  0.998  -0.01

Computed properties:
- Formation energy without anion corrections: -2.98 eV/atom
- Symmetry: P4_2nm, No. 102
- Magnetic moment: 0.11 μB per atom
- D(E_F): 10.247 states/eV per cell

***

Entry 7:
## LaFe2Pt (PBE-GGA)

Data for a geometry-optimized LaFe2Pt structure.

a = 5.284 Å, b = 5.284 Å, c = 2.992 Å
α = 77.68°, β = 77.68°, γ = 114.92°
Each line ends with the local moment (μB).
Atoms (fractional coordinates):
Fe  0.000  0.000  0.000  2.52
Fe  0.500  0.500  0.000  2.52
Pt  0.000  0.500  0.500  0.20
La  0.500  0.000  0.500  -0.31

Computed properties:
- Symmetry: C2/m, No. 12
- Magnetic moment: 1.18 μB per atom
- D(E_F): 4.256 states/eV per cell
- Calculated formation energy: 187.4 meV/atom

***

Entry 8:
## SiHPd3 (PBE-GGA)

Data for a geometry-optimized SiHPd3 structure.

a = 3.949 Å, b = 3.949 Å, c = 3.949 Å
α = 90.00°, β = 90.00°, γ = 90.00°
Atoms (fractional coordinates):
Pd  0.000  0.500  0.000
Pd  0.500  0.000  0.000
Pd  0.000  0.000  0.500
Si  0.500  0.500  0.500
H  0.000  0.000  0.000

Computed properties:
- Excess energy over the best structure of this formula in the dataset: 0.62 eV per formula unit
- Symmetry: Pm-3m, No. 221
- Magnetic moment: 0.00 μB per atom
- D(E_F): 3.976 states/eV per cell